No. 1
Entry from Alexandria via LeMat-Bulk: RbLaV2O8 after structural relaxation (GGA+U).

Properties
DFT total energy: -6.9940 eV/atom
Symmetry: P-3, No. 147

Cell and atoms, written as extended XYZ:
```
12
Lattice="-4.821 3.613 0.138 -0.151 -5.105 -3.197 -2.855 -4.063 6.622" Properties=species:S:1:pos:R:3 pbc="T T T"
O -2.951 -6.376 1.925
O -3.370 0.556 -0.729
O -2.609 -0.920 1.548
O -4.987 -1.594 0.109
O -4.457 -6.112 4.292
O -2.840 -3.962 3.454
O -4.876 0.821 1.638
O -5.218 -4.636 2.016
La -1.427 -2.032 3.311
Rb 0.000 0.000 0.000
V -3.963 -0.288 0.648
V -3.864 -5.268 2.916
```

No. 2
Entry from Alexandria via LeMat-Bulk: Rb4La3VO8 after structural relaxation (GGA+U).

Properties
DFT total energy: -6.4332 eV/atom
Symmetry: C2/m, No. 12

Cell and atoms, written as extended XYZ:
```
16
Lattice="7.190 0.000 0.000 0.000 7.774 0.335 -3.595 -3.629 5.186" Properties=species:S:1:pos:R:3 pbc="T T T"
O 1.587 2.451 0.296
O 0.000 3.685 2.618
O 3.595 3.677 2.570
O 2.008 1.694 5.225
O -2.008 1.694 5.225
O 0.000 0.468 2.951
O 5.603 2.451 0.296
O 3.595 0.459 2.903
Rb -1.798 -1.815 2.593
Rb 3.595 0.000 0.000
Rb 1.798 -1.815 2.593
Rb 0.000 0.000 0.000
La -1.798 2.072 2.760
La 3.595 3.887 0.168
La 1.798 2.072 2.760
V 0.000 3.887 0.168
```

No. 3
Entry from Alexandria via LeMat-Bulk: RbLaW2O8 after structural relaxation (GGA+U).

Properties
DFT total energy: -7.4260 eV/atom
Symmetry: C2/m, No. 12

Cell and atoms, written as extended XYZ:
```
24
Lattice="-3.577 -4.541 -4.968 1.120 -5.728 4.902 -6.567 -3.055 2.758" Properties=species:S:1:pos:R:3 pbc="T T T"
O -6.689 -7.282 -0.616
O -1.796 -8.885 1.334
O -2.335 -6.043 3.309
O -2.983 -8.585 -1.160
O -6.971 -7.062 2.469
O -2.052 -6.262 0.224
O -7.342 -10.140 0.723
O -1.681 -3.184 1.970
O -4.699 -11.173 0.893
O -4.446 -7.848 4.096
O -4.325 -2.152 1.799
O -7.228 -4.439 1.358
O -4.577 -5.476 -1.404
O -6.041 -4.739 3.853
O -6.152 -10.441 3.225
O -2.872 -2.884 -0.532
La -2.174 -4.895 -2.020
La -0.282 -5.373 1.955
W -8.082 -11.050 2.518
W -0.942 -2.274 0.175
W -6.105 -6.260 -2.001
W -2.919 -7.064 4.693
Rb -4.750 -8.468 1.242
Rb -4.274 -4.856 1.450
```

No. 4
Entry from Alexandria via LeMat-Bulk: RbLaW2O8 after structural relaxation (GGA+U).

Properties
DFT total energy: -7.3660 eV/atom
Symmetry: P-3, No. 147

Cell and atoms, written as extended XYZ:
```
12
Lattice="-1.433 -6.019 -0.705 3.762 2.806 -4.094 6.401 -2.048 4.478" Properties=species:S:1:pos:R:3 pbc="T T T"
O 6.571 -3.031 -0.762
O 2.159 -2.231 0.441
O 5.457 -1.470 1.544
O 8.311 -2.145 1.430
O 0.419 -3.116 -1.751
O 3.273 -3.792 -1.865
O 7.270 -0.133 -0.436
O 1.460 -5.129 0.115
Rb 0.000 0.000 0.000
La 3.200 -1.024 2.239
W 1.827 -3.567 -0.765
W 6.903 -1.695 0.444
```

What is the DFT total energy in the first record? -6.9940 eV/atom